[1]
First-principles (PBE) data for a relaxed YErTlAu crystal, as listed in the Alexandria database.

Output
The calculation puts the formation energy at -577 meV per atom. The space-group type is No. 216. The density of states at the Fermi level is 0.68 states/eV/atom. The excess energy over the best structure of this formula in the dataset is 40.7 meV/atom. For the size of the total moment, the calculation gives 0.00 μB/f.u. As for the crystal system: cubic.

Unit cell a=5.2228 b=5.2228 c=5.2228 alpha=60.00 beta=60.00 gamma=60.00
Closest atoms and distances in Å follow each position.
Sites, in units of the cell vectors:
Y1 0.7500 0.7500 0.7500  4 Au 3.20, 4 Tl 3.20
Tl1 0.0000 0.0000 0.0000  4 Y 3.20, 4 Er 3.20
Au1 0.5000 0.5000 0.5000  4 Er 3.20, 4 Y 3.20
Er1 0.2500 0.2500 0.2500  4 Tl 3.20, 4 Au 3.20

[2]
First-principles (PBE) data for a relaxed YErTlAu crystal, as listed in the Alexandria database.

Output
The calculation puts the formation energy at -618 meV per atom. The space-group type is No. 99. The density of states at the Fermi level is 0.64 states/eV/atom. The excess energy over the best structure of this formula in the dataset is 0.0 meV/atom. For the size of the total moment, the calculation gives 0.00 μB/f.u. As for the crystal system: tetragonal.

Unit cell a=3.6180 b=3.6180 c=7.6701 alpha=90.00 beta=90.00 gamma=90.00
Closest atoms and distances in Å follow each position.
Sites, in units of the cell vectors:
Y1 0.5000 0.5000 0.1240  4 Au 3.16, 4 Tl 3.29, 1 Er 3.53
Er1 0.5000 0.5000 0.5842  4 Au 3.06, 4 Tl 3.29
Tl1 0.0000 0.0000 0.8533  4 Er 3.29, 4 Y 3.29, 4 Tl 3.62
Au1 0.0000 0.0000 0.3664  4 Er 3.06, 4 Y 3.16

[3]
First-principles (PBE) data for a relaxed ErTmAu crystal, as listed in the Alexandria database.

Output
The calculation puts the formation energy at -552 meV per atom. The space-group type is No. 107. The density of states at the Fermi level is 1.09 states/eV/atom. The excess energy over the best structure of this formula in the dataset is 107.0 meV/atom. For the size of the total moment, the calculation gives 0.88 μB/f.u. As for the crystal system: tetragonal.

Unit cell a=3.5495 b=3.5495 c=6.5845 alpha=105.64 beta=105.64 gamma=90.00
Closest atoms and distances in Å follow each position.
Sites, in units of the cell vectors:
Tm1 0.5948 0.5948 0.1895  4 Au 3.06
Au1 0.9514 0.9514 0.9028  4 Tm 3.06, 4 Er 3.09
Er1 0.3038 0.3038 0.6076  4 Au 3.09

[4]
First-principles (PBE) data for a relaxed ErTmAu2 crystal, as listed in the Alexandria database.

Output
The calculation puts the formation energy at -885 meV per atom. The space-group type is No. 123. The density of states at the Fermi level is 0.46 states/eV/atom. The excess energy over the best structure of this formula in the dataset is 0.0 meV/atom. For the size of the total moment, the calculation gives 0.00 μB/f.u. As for the crystal system: tetragonal.

Unit cell a=3.5318 b=5.0562 c=5.0562 alpha=90.00 beta=90.00 gamma=90.00
Closest atoms and distances in Å follow each position.
Sites, in units of the cell vectors:
Tm1 0.5000 0.5000 0.5000  8 Au 3.08
Au1 0.0000 0.0000 0.5000  4 Er 3.08, 4 Tm 3.08
Au2 0.0000 0.5000 0.0000  4 Er 3.08, 4 Tm 3.08
Er1 0.5000 0.0000 0.0000  8 Au 3.08

[5]
First-principles (PBE) data for a relaxed Er3TmAu4 crystal, as listed in the Alexandria database.

Output
The calculation puts the formation energy at -675 meV per atom. The space-group type is No. 12. The density of states at the Fermi level is 0.61 states/eV/atom. The excess energy over the best structure of this formula in the dataset is 208.0 meV/atom. For the size of the total moment, the calculation gives 0.00 μB/f.u. As for the crystal system: monoclinic.

Unit cell a=5.1996 b=5.4263 c=7.6118 alpha=108.79 beta=109.97 gamma=90.00
Closest atoms and distances in Å follow each position.
Sites, in units of the cell vectors:
Er1 0.0000 0.5000 0.0000  4 Au 2.98
Er2 0.1764 0.1011 0.3527  5 Au 2.87-2.97
Er3 0.8236 0.8989 0.6473  5 Au 2.87-2.97
Tm1 0.5000 0.0000 0.0000  6 Au 2.93-3.28
Au1 0.2595 0.6834 0.5190  4 Er 2.87-2.97, 1 Au 2.94
Au2 0.7405 0.3166 0.4810  4 Er 2.87-2.97, 1 Au 2.94
Au3 0.6083 0.6292 0.2165  3 Er 2.92-2.98, 2 Tm 2.93-3.23, 2 Au 2.93-2.94
Au4 0.3917 0.3708 0.7835  3 Er 2.92-2.98, 2 Tm 2.93-3.23, 2 Au 2.93-2.94

[6]
First-principles (PBE) data for a relaxed ErTmAu crystal, as listed in the Alexandria database.

Output
The calculation puts the formation energy at -478 meV per atom. The space-group type is No. 216. The density of states at the Fermi level is 1.19 states/eV/atom. The excess energy over the best structure of this formula in the dataset is 180.9 meV/atom. For the size of the total moment, the calculation gives 0.00 μB/f.u. As for the crystal system: cubic.

Unit cell a=4.9160 b=4.9160 c=4.9160 alpha=60.00 beta=60.00 gamma=60.00
Closest atoms and distances in Å follow each position.
Sites, in units of the cell vectors:
Tm1 0.0000 0.0000 0.0000  4 Au 3.01
Au1 0.2500 0.2500 0.2500  4 Er 3.01, 4 Tm 3.01
Er1 0.5000 0.5000 0.5000  4 Au 3.01

[7]
First-principles (PBE) data for a relaxed ErTm2Au crystal, as listed in the Alexandria database.

Output
The calculation puts the formation energy at -466 meV per atom. The space-group type is No. 62. The density of states at the Fermi level is 0.88 states/eV/atom. The excess energy over the best structure of this formula in the dataset is 0.0 meV/atom. For the size of the total moment, the calculation gives 0.00 μB/f.u. As for the crystal system: orthorhombic.

Unit cell a=6.6098 b=6.8594 c=9.5668 alpha=90.00 beta=90.00 gamma=90.00
Closest atoms and distances in Å follow each position.
Sites, in units of the cell vectors:
Er1 0.6121 0.5119 0.2500  2 Au 2.87-2.95
Er2 0.8879 0.0119 0.2500  2 Au 2.87-2.95
Er3 0.3879 0.4881 0.7500  2 Au 2.87-2.95
Er4 0.1121 0.9881 0.7500  2 Au 2.87-2.95
Tm1 0.1982 0.6991 0.0541  2 Au 2.90-2.98
Tm2 0.3018 0.1991 0.4459  2 Au 2.90-2.98
Tm3 0.8018 0.3009 0.5541  2 Au 2.90-2.98
Tm4 0.6982 0.8009 0.9459  2 Au 2.90-2.98
Tm5 0.8018 0.3009 0.9459  2 Au 2.90-2.98
Tm6 0.6982 0.8009 0.5541  2 Au 2.90-2.98
Tm7 0.1982 0.6991 0.4459  2 Au 2.90-2.98
Tm8 0.3018 0.1991 0.0541  2 Au 2.90-2.98
Au1 0.0356 0.4179 0.2500  2 Er 2.87-2.95, 4 Tm 2.90-2.98
Au2 0.4644 0.9179 0.2500  2 Er 2.87-2.95, 4 Tm 2.90-2.98
Au3 0.9644 0.5821 0.7500  2 Er 2.87-2.95, 4 Tm 2.90-2.98
Au4 0.5356 0.0821 0.7500  2 Er 2.87-2.95, 4 Tm 2.90-2.98

[8]
First-principles (PBE) data for a relaxed ErTm5Au6 crystal, as listed in the Alexandria database.

Output
The calculation puts the formation energy at -891 meV per atom. The space-group type is No. 12. The density of states at the Fermi level is 0.45 states/eV/atom. For the size of the total moment, the calculation gives 0.00 μB/f.u. As for the crystal system: monoclinic.

Unit cell a=5.0185 b=8.7172 c=8.7172 alpha=120.14 beta=106.67 gamma=106.67
Closest atoms and distances in Å follow each position.
Sites, in units of the cell vectors:
Tm1 0.5000 0.1665 0.8335  8 Au 3.08-3.09
Tm2 0.0000 0.3332 0.6668  8 Au 3.07-3.08
Tm3 0.5000 0.5000 0.5000  8 Au 3.07-3.09
Tm4 0.0000 0.6668 0.3332  8 Au 3.07-3.08
Tm5 0.5000 0.8335 0.1665  8 Au 3.08-3.09
Au1 0.2510 0.0838 0.4181  7 Tm 3.07-3.09, 1 Er 3.09
Au2 0.7490 0.5819 0.9162  7 Tm 3.07-3.09, 1 Er 3.09
Au3 0.7519 0.2519 0.2519  6 Tm 3.07-3.09, 2 Er 3.08-3.09
Au4 0.2481 0.7481 0.7481  6 Tm 3.07-3.09, 2 Er 3.08-3.09
Au5 0.2510 0.4181 0.0838  7 Tm 3.07-3.09, 1 Er 3.09
Au6 0.7490 0.9162 0.5819  7 Tm 3.07-3.09, 1 Er 3.09
Er1 0.0000 0.0000 0.0000  8 Au 3.08-3.09

[9]
First-principles (PBE) data for a relaxed ErTmAu5 crystal, as listed in the Alexandria database.

Output
The calculation puts the formation energy at -676 meV per atom. The space-group type is No. 15. The density of states at the Fermi level is 0.47 states/eV/atom. For the size of the total moment, the calculation gives 0.00 μB/f.u. As for the crystal system: monoclinic.

Unit cell a=5.2653 b=5.2653 c=11.1922 alpha=101.45 beta=101.45 gamma=100.52
Closest atoms and distances in Å follow each position.
Sites, in units of the cell vectors:
Er1 0.0000 0.0000 0.0000  10 Au 2.86-3.16
Er2 0.0000 0.0000 0.5000  10 Au 2.86-3.16
Tm1 0.5641 0.4359 0.2500  9 Au 2.96-3.18
Tm2 0.4359 0.5641 0.7500  9 Au 2.96-3.18
Au1 0.0391 0.5492 0.1465  6 Au 2.94-3.15, 2 Tm 2.97-2.99, 2 Er 2.98-3.16
Au2 0.7626 0.4781 0.5421  5 Au 2.81-3.05, 2 Er 2.97-3.01
Au3 0.5492 0.0391 0.6465  6 Au 2.94-3.15, 2 Tm 2.97-2.99, 2 Er 2.98-3.16
Au4 0.9298 0.0703 0.2500  2 Er 2.86, 6 Au 2.93-2.99, 1 Tm 2.96
Au5 0.5219 0.2374 0.9579  5 Au 2.81-3.05, 2 Er 2.97-3.01
Au6 0.4781 0.7626 0.0421  5 Au 2.81-3.05, 2 Er 2.97-3.01
Au7 0.0703 0.9298 0.7500  2 Er 2.86, 6 Au 2.93-2.99, 1 Tm 2.96
Au8 0.4508 0.9609 0.3535  6 Au 2.94-3.15, 2 Tm 2.97-2.99, 2 Er 2.98-3.16
Au9 0.2374 0.5219 0.4579  5 Au 2.81-3.05, 2 Er 2.97-3.01
Au10 0.9609 0.4508 0.8535  6 Au 2.94-3.15, 2 Tm 2.97-2.99, 2 Er 2.98-3.16

[10]
First-principles (PBE) data for a relaxed Er5Tm12Au3 crystal, as listed in the Alexandria database.

Output
The calculation puts the formation energy at 682 meV per atom. The space-group type is No. 230. The density of states at the Fermi level is 1.12 states/eV/atom. For the size of the total moment, the calculation gives 0.00 μB/f.u. As for the crystal system: cubic.

Unit cell a=15.6015 b=15.6015 c=15.6015 alpha=109.47 beta=109.47 gamma=109.47
Closest atoms and distances in Å follow each position.
Sites, in units of the cell vectors:
Au1 0.7500 0.3750 0.1250  4 Tm 2.81
Au2 0.8750 0.7500 0.1250  4 Tm 2.81
Au3 0.3750 0.7500 0.6250  4 Tm 2.81
Au4 0.2500 0.1250 0.3750  4 Tm 2.81
Au5 0.8750 0.1250 0.2500  4 Tm 2.81
Au6 0.3750 0.6250 0.2500  4 Tm 2.81
Au7 0.6250 0.3750 0.7500  4 Tm 2.81
Au8 0.1250 0.8750 0.7500  4 Tm 2.81
Au9 0.7500 0.8750 0.6250  4 Tm 2.81
Au10 0.6250 0.2500 0.3750  4 Tm 2.81
Au11 0.1250 0.2500 0.8750  4 Tm 2.81
Au12 0.2500 0.6250 0.8750  4 Tm 2.81
Er1 0.1250 0.3750 0.2500  4 Tm 3.32
Er2 0.0000 0.5000 0.0000  6 Tm 3.09
Er3 0.0000 0.0000 0.0000  6 Tm 3.09
Er4 0.3750 0.2500 0.1250  4 Tm 3.32
Er5 0.5000 0.0000 0.5000  6 Tm 3.09
Er6 0.5000 0.5000 0.0000  6 Tm 3.09
Er7 0.1250 0.7500 0.3750  4 Tm 3.32
Er8 0.7500 0.1250 0.8750  4 Tm 3.32
Er9 0.7500 0.6250 0.3750  4 Tm 3.32
Er10 0.3750 0.1250 0.7500  4 Tm 3.32
Er11 0.6250 0.8750 0.2500  4 Tm 3.32
Er12 0.5000 0.5000 0.5000  6 Tm 3.09
Er13 0.5000 0.0000 0.0000  6 Tm 3.09
Er14 0.0000 0.0000 0.5000  6 Tm 3.09
Er15 0.2500 0.3750 0.6250  4 Tm 3.32
Er16 0.2500 0.8750 0.1250  4 Tm 3.32
Er17 0.0000 0.5000 0.5000  6 Tm 3.09
Er18 0.8750 0.2500 0.6250  4 Tm 3.32
Er19 0.6250 0.7500 0.8750  4 Tm 3.32
Er20 0.8750 0.6250 0.7500  4 Tm 3.32
Tm1 0.7375 0.1331 0.0859  1 Au 2.81, 1 Er 3.09
Tm2 0.3484 0.5859 0.4528  1 Au 2.81, 1 Er 3.09
Tm3 0.9141 0.3669 0.2625  1 Au 2.81, 1 Er 3.09
Tm4 0.5859 0.2375 0.1331  1 Au 2.81, 1 Er 3.09
Tm5 0.6044 0.7375 0.6516  1 Au 2.81, 1 Er 3.09
Tm6 0.9141 0.5472 0.1516  1 Au 2.81, 1 Er 3.09
Tm7 0.3484 0.7625 0.3956  1 Au 2.81, 1 Er 3.09
Tm8 0.0472 0.8956 0.1331  1 Au 2.81, 1 Er 3.09
Tm9 0.5472 0.9141 0.6516  1 Au 2.81, 1 Er 3.09
Tm10 0.7375 0.6044 0.1516  1 Au 2.81, 1 Er 3.09
Tm11 0.7625 0.4141 0.3669  1 Au 2.81, 1 Er 3.09
Tm12 0.8484 0.9528 0.0859  1 Au 2.81, 1 Er 3.09
Tm13 0.1331 0.7375 0.5859  1 Au 2.81, 1 Er 3.09
Tm14 0.3669 0.4528 0.1044  1 Au 2.81, 1 Er 3.09
Tm15 0.1044 0.9528 0.3669  1 Au 2.81, 1 Er 3.09
Tm16 0.3956 0.1331 0.5472  1 Au 2.81, 1 Er 3.09
Tm17 0.1044 0.1516 0.2375  1 Au 2.81, 1 Er 3.09
Tm18 0.4141 0.6516 0.0472  1 Au 2.81, 1 Er 3.09
Tm19 0.8484 0.8956 0.2625  1 Au 2.81, 1 Er 3.09
Tm20 0.1331 0.3956 0.0472  1 Au 2.81, 1 Er 3.09
Tm21 0.3669 0.9141 0.7625  1 Au 2.81, 1 Er 3.09
Tm22 0.5472 0.6331 0.3956  1 Au 2.81, 1 Er 3.09
Tm23 0.9528 0.8484 0.5859  1 Au 2.81, 1 Er 3.09
Tm24 0.7625 0.3484 0.8956  1 Au 2.81, 1 Er 3.09
Tm25 0.4528 0.3669 0.6044  1 Au 2.81, 1 Er 3.09
Tm26 0.0472 0.1516 0.4141  1 Au 2.81, 1 Er 3.09
Tm27 0.2375 0.6516 0.1044  1 Au 2.81, 1 Er 3.09
Tm28 0.1516 0.1044 0.7375  1 Au 2.81, 1 Er 3.09
Tm29 0.6331 0.0859 0.2375  1 Au 2.81, 1 Er 3.09
Tm30 0.8669 0.6044 0.9528  1 Au 2.81, 1 Er 3.09
Tm31 0.5859 0.3484 0.9528  1 Au 2.81, 1 Er 3.09
Tm32 0.6044 0.8669 0.4528  1 Au 2.81, 1 Er 3.09
Tm33 0.8956 0.8484 0.7625  1 Au 2.81, 1 Er 3.09
Tm34 0.8956 0.0472 0.6331  1 Au 2.81, 1 Er 3.09
Tm35 0.8669 0.2625 0.4141  1 Au 2.81, 1 Er 3.09
Tm36 0.1516 0.0472 0.9141  1 Au 2.81, 1 Er 3.09
Tm37 0.6331 0.5472 0.8956  1 Au 2.81, 1 Er 3.09
Tm38 0.4528 0.0859 0.3484  1 Au 2.81, 1 Er 3.09
Tm39 0.2625 0.3956 0.8484  1 Au 2.81, 1 Er 3.09
Tm40 0.2375 0.5859 0.6331  1 Au 2.81, 1 Er 3.09
Tm41 0.9528 0.1044 0.8669  1 Au 2.81, 1 Er 3.09
Tm42 0.6516 0.2375 0.6044  1 Au 2.81, 1 Er 3.09
Tm43 0.4141 0.7625 0.8669  1 Au 2.81, 1 Er 3.09
Tm44 0.0859 0.4528 0.8484  1 Au 2.81, 1 Er 3.09
Tm45 0.3956 0.2625 0.3484  1 Au 2.81, 1 Er 3.09
Tm46 0.0859 0.6331 0.7375  1 Au 2.81, 1 Er 3.09
Tm47 0.6516 0.4141 0.5472  1 Au 2.81, 1 Er 3.09
Tm48 0.2625 0.8669 0.9141  1 Au 2.81, 1 Er 3.09

[11]
First-principles (PBE) data for a relaxed ErTmAu crystal, as listed in the Alexandria database.

Output
The calculation puts the formation energy at -439 meV per atom. The space-group type is No. 156. The density of states at the Fermi level is 0.54 states/eV/atom. The excess energy over the best structure of this formula in the dataset is 220.0 meV/atom. For the size of the total moment, the calculation gives 0.00 μB/f.u. As for the crystal system: trigonal.

Unit cell a=3.7494 b=4.8663 c=4.8663 alpha=120.00 beta=90.00 gamma=90.00
Closest atoms and distances in Å follow each position.
Sites, in units of the cell vectors:
Tm1 0.0742 0.0000 0.0000  3 Au 2.97
Au1 0.3279 0.3333 0.6667  3 Tm 2.97, 3 Er 2.99
Er1 0.5980 0.6667 0.3333  3 Au 2.99, 3 Tm 3.33

[12]
First-principles (PBE) data for a relaxed ErTmAu2 crystal, as listed in the Alexandria database.

Output
The calculation puts the formation energy at -882 meV per atom. The space-group type is No. 225. The density of states at the Fermi level is 0.57 states/eV/atom. The excess energy over the best structure of this formula in the dataset is 3.6 meV/atom. For the size of the total moment, the calculation gives 0.00 μB/f.u. As for the crystal system: cubic.

Unit cell a=5.0390 b=5.0390 c=5.0390 alpha=60.00 beta=60.00 gamma=60.00
Closest atoms and distances in Å follow each position.
Sites, in units of the cell vectors:
Tm1 0.5000 0.5000 0.5000  8 Au 3.09
Au1 0.2500 0.2500 0.2500  4 Tm 3.09, 4 Er 3.09
Au2 0.7500 0.7500 0.7500  4 Er 3.09, 4 Tm 3.09
Er1 0.0000 0.0000 0.0000  8 Au 3.09